[1]
DFT (PBE) results for an optimized crystal structure of ScAg2Cl.

- spin magnetization (μB per formula unit) = 0.00
- polymorph energy (0 for the lowest one) (meV/atom) = 132.9
- SG = Immm
- E_form (uncorrected) (meV/atom) = -427

Cell: 3.0890 4.4434 12.0769 Å, 90.00 90.00 90.00°
Fractional coordinates of all 8 atoms:
Sc1 0.0000 0.0000 0.0000
Sc2 0.5000 0.5000 0.5000
Ag1 0.0000 0.5000 0.2830
Ag2 0.0000 0.5000 0.7170
Ag3 0.5000 0.0000 0.2170
Ag4 0.5000 0.0000 0.7830
Cl1 0.0000 0.0000 0.5000
Cl2 0.5000 0.5000 0.0000

=====

[2]
DFT (PBE) results for an optimized crystal structure of AsIN2.

- spin magnetization (μB per formula unit) = 0.00
- polymorph energy (0 for the lowest one) (meV/atom) = 178.1
- SG = I-42d
- E_form (uncorrected) (meV/atom) = 1257

Cell: 5.6215 5.6215 8.3330 Å, 90.00 90.00 90.00°
Fractional coordinates of all 16 atoms:
As1 0.0000 0.0000 0.0000
As2 0.0000 0.5000 0.2500
As3 0.5000 0.0000 0.7500
As4 0.5000 0.5000 0.5000
I1 0.0000 0.0000 0.5000
I2 0.0000 0.5000 0.7500
I3 0.5000 0.0000 0.2500
I4 0.5000 0.5000 0.0000
N1 0.1091 0.2500 0.1250
N2 0.2500 0.6091 0.3750
N3 0.2500 0.8909 0.8750
N4 0.3909 0.2500 0.6250
N5 0.6091 0.7500 0.6250
N6 0.7500 0.1091 0.8750
N7 0.7500 0.3909 0.3750
N8 0.8909 0.7500 0.1250

=====

[3]
DFT (PBE) results for an optimized crystal structure of Ho5TmIn4.

- spin magnetization (μB per formula unit) = 0.00
- SG = P4/mmm
- energy of formation (eV per atom) = -0.3678

Cell: 3.5527 3.5527 21.5609 Å, 90.00 90.00 90.00°
Fractional coordinates of all 10 atoms:
Ho1 0.0000 0.0000 0.0000
Ho2 0.0000 0.0000 0.1942
Ho3 0.0000 0.0000 0.3874
Ho4 0.0000 0.0000 0.6126
Ho5 0.0000 0.0000 0.8058
Tm1 0.5000 0.5000 0.5000
In1 0.5000 0.5000 0.0970
In2 0.5000 0.5000 0.2908
In3 0.5000 0.5000 0.7092
In4 0.5000 0.5000 0.9030

=====

[4]
DFT (PBE) results for an optimized crystal structure of Tm3Cr5S12.

- spin magnetization (μB per formula unit) = 15.00
- SG = Ia-3d
- E_form (uncorrected) (meV/atom) = -1050

Cell: 12.8014 12.8014 12.8014 Å, 109.47 109.47 109.47°
Fractional coordinates of all 80 atoms:
Tm1 0.1250 0.2500 0.3750
Tm2 0.1250 0.3750 0.7500
Tm3 0.2500 0.3750 0.1250
Tm4 0.2500 0.8750 0.6250
Tm5 0.3750 0.1250 0.2500
Tm6 0.3750 0.7500 0.1250
Tm7 0.6250 0.2500 0.8750
Tm8 0.6250 0.8750 0.7500
Tm9 0.7500 0.1250 0.3750
Tm10 0.7500 0.6250 0.8750
Tm11 0.8750 0.6250 0.2500
Tm12 0.8750 0.7500 0.6250
Cr1 0.0000 0.0000 0.0000
Cr2 0.0000 0.0000 0.5000
Cr3 0.0000 0.5000 0.0000
Cr4 0.0000 0.5000 0.5000
Cr5 0.1250 0.7500 0.8750
Cr6 0.1250 0.8750 0.2500
Cr7 0.2500 0.1250 0.8750
Cr8 0.2500 0.6250 0.3750
Cr9 0.3750 0.2500 0.6250
Cr10 0.3750 0.6250 0.7500
Cr11 0.5000 0.0000 0.0000
Cr12 0.5000 0.0000 0.5000
Cr13 0.5000 0.5000 0.0000
Cr14 0.5000 0.5000 0.5000
Cr15 0.6250 0.3750 0.2500
Cr16 0.6250 0.7500 0.3750
Cr17 0.7500 0.3750 0.6250
Cr18 0.7500 0.8750 0.1250
Cr19 0.8750 0.1250 0.7500
Cr20 0.8750 0.2500 0.1250
S1 0.0320 0.2092 0.1229
S2 0.0320 0.3229 0.9091
S3 0.0863 0.7092 0.6771
S4 0.0863 0.8771 0.4091
S5 0.0909 0.6229 0.4137
S6 0.0909 0.9680 0.6771
S7 0.1229 0.0320 0.2092
S8 0.1229 0.5909 0.9137
S9 0.1771 0.2092 0.5863
S10 0.1771 0.4680 0.5909
S11 0.2092 0.1229 0.0320
S12 0.2092 0.5863 0.1771
S13 0.2908 0.3229 0.9137
S14 0.2908 0.4680 0.3771
S15 0.3229 0.9091 0.0320
S16 0.3229 0.9137 0.2908
S17 0.3771 0.2908 0.4680
S18 0.3771 0.5863 0.9091
S19 0.4091 0.0863 0.8771
S20 0.4091 0.8229 0.5320
S21 0.4137 0.0909 0.6229
S22 0.4137 0.8229 0.7908
S23 0.4680 0.3771 0.2908
S24 0.4680 0.5909 0.1771
S25 0.5320 0.4091 0.8229
S26 0.5320 0.6229 0.7092
S27 0.5863 0.1771 0.2092
S28 0.5863 0.9091 0.3771
S29 0.5909 0.1771 0.4680
S30 0.5909 0.9137 0.1229
S31 0.6229 0.4137 0.0909
S32 0.6229 0.7092 0.5320
S33 0.6771 0.0863 0.7092
S34 0.6771 0.0909 0.9680
S35 0.7092 0.5320 0.6229
S36 0.7092 0.6771 0.0863
S37 0.7908 0.4137 0.8229
S38 0.7908 0.8771 0.9680
S39 0.8229 0.5320 0.4091
S40 0.8229 0.7908 0.4137
S41 0.8771 0.4091 0.0863
S42 0.8771 0.9680 0.7908
S43 0.9091 0.0320 0.3229
S44 0.9091 0.3771 0.5863
S45 0.9137 0.1229 0.5909
S46 0.9137 0.2908 0.3229
S47 0.9680 0.6771 0.0909
S48 0.9680 0.7908 0.8771